The following is a DFT calculation (PBE) of a relaxed structure of MoAs2IrBr.

Calculated values
The calculation puts the formation energy (no corrections) at 1.084 eV per atom. Its symmetry is P4/mmm (123).

a = 4.7630 Å, b = 4.7630 Å, c = 5.3207 Å
α = 90.00°, β = 90.00°, γ = 90.00°
With the nearest neighbours (Å) after each atom.
Element x y z (fractional)
Mo 0.5000 0.5000 0.5000  4 Br 3.37, 8 As 3.57
Br 0.0000 0.0000 0.5000  2 Ir 2.66
Ir 0.0000 0.0000 0.0000  4 As 2.38, 2 Br 2.66
As 0.5000 0.0000 0.0000  2 Ir 2.38
As 0.0000 0.5000 0.0000  2 Ir 2.38